<a>
Entry from the Alexandria database: crystalline K2ZrNi at its relaxed geometry (GGA-PBE).

a = 10.885 Å, b = 10.885 Å, c = 3.949 Å
α = 79.97°, β = 79.97°, γ = 17.72°
Fractional positions:
Zr 0.250 0.250 0.250
K 0.099 0.099 0.894
K 0.401 0.401 0.606
Ni 0.750 0.750 0.750

Crystal system: monoclinic



<b>
Entry from the Alexandria database: crystalline K2ZrNi at its relaxed geometry (GGA-PBE).

a = 3.062 Å, b = 3.062 Å, c = 11.847 Å
α = 90.00°, β = 90.00°, γ = 90.00°
Fractional positions:
Zr 0.500 0.500 0.750
K 0.000 0.000 0.047
K 0.000 0.000 0.453
Ni 0.500 0.500 0.250

Crystal system: tetragonal



Most stable to least stable, the ends of the list are <a> and <b>.